Entry from the Alexandria database: PuBiTe after structural relaxation (GGA-PBE).

a = 4.4440 Å, b = 4.4440 Å, c = 9.7302 Å
α = 103.20°, β = 103.20°, γ = 90.00°
Each line ends with the local moment (μB).
Positions (direct):
Pu (0.6466, 0.6466, 0.2933)  5.20
Pu (0.3534, 0.3534, 0.7067)  5.20
Te (0.8184, 0.8184, 0.6369)  -0.15
Te (0.1816, 0.1816, 0.3631)  -0.15
Bi (0.5000, 0.0000, 0.0000)  -0.12
Bi (0.0000, 0.5000, 0.0000)  -0.12

Computed properties:
Space-group type: No. 139
Total energy in eV per atom: -7.81
Calculated density in Mg/m³: 10.6
DOS(E_F) in states/eV per cell: 23.92
E_form (uncorrected) in eV/atom: -0.69